No. 1
Below is a relaxed Be2BHO4 crystal, with properties calculated at the GGA-PBEsol level.

The structure in POSCAR format:
```
Be2BHO4
1.0
4.430 0.000 0.000
0.000 9.783 0.000
0.000 0.000 12.080
Be B H O
16 8 8 32
Direct
0.277 0.236 0.069 Be
0.777 0.264 0.931 Be
0.723 0.736 0.431 Be
0.759 0.000 0.311 Be
0.723 0.764 0.931 Be
0.223 0.736 0.069 Be
0.277 0.264 0.569 Be
0.777 0.236 0.431 Be
0.259 0.500 0.689 Be
0.241 0.500 0.189 Be
0.741 0.000 0.811 Be
0.241 0.000 0.689 Be
0.741 0.500 0.311 Be
0.759 0.500 0.811 Be
0.223 0.764 0.569 Be
0.259 0.000 0.189 Be
0.272 0.105 0.394 B
0.772 0.105 0.106 B
0.272 0.395 0.894 B
0.228 0.605 0.394 B
0.728 0.895 0.606 B
0.228 0.895 0.894 B
0.728 0.605 0.106 B
0.772 0.395 0.606 B
0.968 0.314 0.273 H
0.968 0.186 0.773 H
0.532 0.814 0.273 H
0.032 0.686 0.727 H
0.532 0.686 0.773 H
0.032 0.814 0.227 H
0.468 0.186 0.727 H
0.468 0.314 0.227 H
0.617 0.035 0.187 O
0.582 0.401 0.898 O
0.918 0.599 0.398 O
0.418 0.901 0.602 O
0.918 0.901 0.898 O
0.418 0.599 0.102 O
0.082 0.401 0.602 O
0.582 0.099 0.398 O
0.616 0.187 0.034 O
0.116 0.313 0.966 O
0.384 0.687 0.466 O
0.884 0.813 0.534 O
0.082 0.099 0.102 O
0.884 0.687 0.034 O
0.616 0.313 0.534 O
0.116 0.187 0.466 O
0.384 0.813 0.966 O
0.794 0.164 0.822 O
0.706 0.836 0.322 O
0.206 0.664 0.678 O
0.706 0.664 0.822 O
0.206 0.836 0.178 O
0.294 0.164 0.678 O
0.794 0.336 0.322 O
0.117 0.035 0.313 O
0.617 0.465 0.687 O
0.883 0.535 0.187 O
0.383 0.965 0.813 O
0.883 0.965 0.687 O
0.383 0.535 0.313 O
0.117 0.465 0.813 O
0.294 0.336 0.178 O
```

Properties
E_tot: -7.30 eV/atom
calculated volume: 524 Å³/cell
SG: Pbca


No. 2
Below is a relaxed Sr3Be2B5HO13 crystal, with properties calculated at the GGA-PBEsol level.

The structure in POSCAR format:
```
Sr3Be2B5HO13
1.0
-3.181 1.894 -5.327
0.915 -6.499 -0.958
-4.675 0.042 4.705
Sr Be B H O
3 2 5 1 13
Direct
0.979 0.984 0.406 Sr
0.404 0.992 0.992 Sr
0.979 0.406 0.984 Sr
0.569 0.293 0.571 Be
0.569 0.571 0.293 Be
0.913 0.440 0.440 B
0.431 0.898 0.430 B
0.431 0.430 0.898 B
0.942 0.951 0.951 B
0.319 0.582 0.582 B
0.654 0.636 0.636 H
0.018 0.027 0.794 O
0.810 0.051 0.051 O
0.018 0.794 0.027 O
0.522 0.527 0.527 O
0.125 0.426 0.426 O
0.391 0.087 0.404 O
0.391 0.404 0.087 O
0.819 0.560 0.325 O
0.338 0.803 0.571 O
0.553 0.316 0.810 O
0.819 0.325 0.560 O
0.553 0.810 0.316 O
0.338 0.571 0.803 O
```

Properties
E_tot: -7.64 eV/atom
calculated volume: 259 Å³/cell
SG: Cm


No. 3
Below is a relaxed BeBH2Pd crystal, with properties calculated at the GGA-PBEsol level.

The structure in POSCAR format:
```
BeBH2Pd
1.0
3.154 0.000 0.000
0.000 3.154 0.000
0.000 0.000 4.786
Be B Pd H
1 1 1 2
Direct
0.000 0.000 0.500 Be
0.500 0.500 0.500 B
0.000 0.000 0.000 Pd
0.000 0.500 0.000 H
0.500 0.000 0.000 H
```

Properties
E_tot: -3.92 eV/atom
calculated volume: 48 Å³/cell
SG: P4/mmm


No. 4
Below is a relaxed TiBeB2H crystal, with properties calculated at the GGA-PBEsol level.

The structure in POSCAR format:
```
TiBeB2H
1.0
3.323 0.000 0.000
0.000 3.449 0.000
0.000 0.000 3.449
Be B Ti H
1 2 1 1
Direct
0.000 0.000 0.000 Be
0.000 0.000 0.500 B
0.000 0.500 0.000 B
0.500 0.500 0.500 Ti
0.500 0.000 0.000 H
```

Properties
E_tot: -5.46 eV/atom
calculated volume: 40 Å³/cell
SG: P4/mmm


No. 5
Below is a relaxed BeHgB2 crystal, with properties calculated at the GGA-PBEsol level.

The structure in POSCAR format:
```
BeHgB2
1.0
-3.481 1.863 -0.836
-3.248 -0.663 2.304
-1.370 2.908 2.442
Be B Hg
1 2 1
Direct
0.000 0.000 0.000 Be
0.250 0.250 0.250 B
0.750 0.750 0.750 B
0.500 0.500 0.500 Hg
```

Properties
E_tot: -3.03 eV/atom
calculated volume: 46 Å³/cell
calculated formation energy: 1.6248 eV per atom
SG: Fm-3m


No. 6
Below is a relaxed BeNbB2I crystal, with properties calculated at the GGA-PBEsol level.

The structure in POSCAR format:
```
BeNbB2I
1.0
-1.567 0.874 3.909
-3.063 -2.966 -0.565
2.969 -3.440 1.960
I Be Nb B
1 1 1 2
Direct
0.500 0.500 0.500 I
0.000 0.000 0.500 Be
0.000 0.000 0.000 Nb
0.000 0.500 0.000 B
0.500 0.000 0.000 B
```

Properties
E_tot: -4.42 eV/atom
ΔE_f (raw): 1702 meV per atom
calculated volume: 92 Å³/cell
SG: P4/mmm


No. 7
Below is a relaxed BeBIO2 crystal, with properties calculated at the GGA-PBEsol level.

The structure in POSCAR format:
```
BeBIO2
1.0
3.262 0.000 0.000
0.000 3.262 0.000
0.000 0.000 6.101
I Be B O
1 1 1 2
Direct
0.000 0.000 0.500 I
0.500 0.500 0.500 Be
0.000 0.000 0.000 B
0.000 0.500 0.000 O
0.500 0.000 0.000 O
```

Properties
E_tot: -4.65 eV/atom
ΔE_f (raw): 8 meV per atom
calculated volume: 65 Å³/cell
SG: P4/mmm


No. 8
Below is a relaxed BeBSb2I crystal, with properties calculated at the GGA-PBEsol level.

The structure in POSCAR format:
```
BeBSb2I
1.0
-1.867 -3.225 3.240
4.387 -1.268 1.266
0.005 3.357 3.345
I Sb B Be
1 2 1 1
Direct
0.500 0.000 0.000 I
0.000 0.000 0.500 Sb
0.000 0.500 0.000 Sb
0.000 0.000 0.000 B
0.500 0.500 0.500 Be
```

Properties
E_tot: -3.23 eV/atom
ΔE_f (raw): 1148 meV per atom
calculated volume: 111 Å³/cell
SG: P4/mmm